Record 1
KPd2Pb2: optimized geometry, PBE.

Values from the calculation:
formation energy	-0.17	eV/atom
space-group type	I4/mmm
total magnetic moment	0.000	μB/atom

Unit cell a=4.9248 b=4.9248 c=6.5187 alpha=67.81 beta=67.81 gamma=90.00
Atoms (fractional coordinates):
1 Pd 0.6222 0.6222 0.7556
2 Pb 0.7500 0.2500 0.5000
3 Pd 0.3778 0.3778 0.2444
4 K 0.0000 0.0000 0.0000
5 Pb 0.2500 0.7500 0.5000



Record 2
KPdPb6: optimized geometry, PBE.

Values from the calculation:
formation energy	-0.10	eV/atom
space-group type	P4/mmm
total magnetic moment	0.000	μB/atom

Unit cell a=4.9416 b=4.9416 c=10.6968 alpha=90.00 beta=90.00 gamma=90.00
Atoms (fractional coordinates):
1 Pb 0.0000 0.5000 0.3430
2 Pb 0.5000 0.0000 0.3430
3 Pb 0.0000 0.5000 0.6570
4 Pd 0.0000 0.0000 0.5000
5 Pb 0.5000 0.5000 0.8508
6 Pb 0.5000 0.0000 0.6570
7 K 0.0000 0.0000 0.0000
8 Pb 0.5000 0.5000 0.1492



Record 3
KPd6Pb6: optimized geometry, PBE.

Values from the calculation:
formation energy	-0.23	eV/atom
space-group type	Immm
total magnetic moment	0.000	μB/atom

Unit cell a=5.8954 b=7.5677 c=7.5677 alpha=77.25 beta=67.08 gamma=67.08
Atoms (fractional coordinates):
1 Pb 0.0000 0.3385 0.6615
2 Pb 0.6715 0.8285 0.8285
3 Pd 0.0000 0.5000 0.0000
4 K 0.0000 0.0000 0.0000
5 Pd 0.5000 0.2466 0.7534
6 Pb 0.3376 0.6624 0.6624
7 Pd 0.5000 0.0000 0.5000
8 Pb 0.0000 0.6615 0.3385
9 Pd 0.5000 0.5000 0.0000
10 Pb 0.6624 0.3376 0.3376
11 Pd 0.0000 0.0000 0.5000
12 Pb 0.3285 0.1715 0.1715
13 Pd 0.5000 0.7534 0.2466



Record 4
KPd2Pb2: optimized geometry, PBE.

Values from the calculation:
formation energy	-0.26	eV/atom
space-group type	C2/m
total magnetic moment	0.000	μB/atom

Unit cell a=4.7920 b=5.1901 c=6.3424 alpha=108.47 beta=112.20 gamma=90.00
Atoms (fractional coordinates):
1 Pb 0.6512 0.5977 0.3024
2 Pd 0.7462 0.1674 0.4925
3 K 0.0000 0.0000 0.0000
4 Pb 0.3488 0.4023 0.6976
5 Pd 0.2538 0.8326 0.5075



Record 5
K2Pd2Pb: optimized geometry, PBE.

Values from the calculation:
formation energy	-0.09	eV/atom
space-group type	P4/mbm
total magnetic moment	0.000	μB/atom

Unit cell a=7.1167 b=7.1167 c=5.5077 alpha=90.00 beta=90.00 gamma=90.00
Atoms (fractional coordinates):
1 Pb 0.0000 0.0000 0.0000
2 Pd 0.1342 0.3658 0.0000
3 K 0.8263 0.3263 0.5000
4 K 0.3263 0.1737 0.5000
5 K 0.6737 0.8263 0.5000
6 Pb 0.5000 0.5000 0.0000
7 Pd 0.8658 0.6342 0.0000
8 K 0.1737 0.6737 0.5000
9 Pd 0.6342 0.1342 0.0000
10 Pd 0.3658 0.8658 0.0000



Record 6
K2Pd4Pb5: optimized geometry, PBE.

Values from the calculation:
formation energy	-0.15	eV/atom
space-group type	C2/m
total magnetic moment	0.000	μB/atom

Unit cell a=8.2706 b=7.3408 c=7.7696 alpha=77.01 beta=57.84 gamma=55.71
Atoms (fractional coordinates):
1 Pb 0.0000 0.5000 0.5000
2 Pb 0.3538 0.7575 0.1350
3 K 0.2516 0.8349 0.6618
4 K 0.7484 0.1651 0.3382
5 Pd 0.6734 0.8677 0.7855
6 Pb 0.6462 0.2425 0.8650
7 Pd 0.8248 0.4353 0.9151
8 Pb 0.7537 0.7575 0.1350
9 Pb 0.2463 0.2425 0.8650
10 Pd 0.3266 0.1323 0.2145
11 Pd 0.1752 0.5647 0.0849



Record 7
K2PdPtPb6: optimized geometry, PBE.

Values from the calculation:
formation energy	-0.11	eV/atom
space-group type	R-3m
total magnetic moment	0.000	μB/atom

Unit cell a=7.6550 b=7.6550 c=13.3592 alpha=73.35 beta=73.35 gamma=60.00
Atoms (fractional coordinates):
1 Pt 0.4251 0.4251 0.7246
2 Pb 0.7767 0.7767 0.1013
3 Pt 0.5749 0.5749 0.2754
4 K 0.8887 0.8887 0.3339
5 Pb 0.7767 0.3453 0.1013
6 Pb 0.9009 0.3536 0.3919
7 Pd 0.5000 0.5000 0.5000
8 K 0.2819 0.2819 0.1542
9 Pb 0.6464 0.6464 0.6081
10 Pb 0.6547 0.2233 0.8987
11 Pb 0.2233 0.6547 0.8987
12 Pb 0.2233 0.2233 0.8987
13 Pd 0.0000 0.0000 0.0000
14 Pb 0.3536 0.3536 0.3919
15 Pb 0.0991 0.6464 0.6081
16 K 0.1113 0.1113 0.6661
17 K 0.7181 0.7181 0.8458
18 Pb 0.3536 0.9009 0.3919
19 Pb 0.6464 0.0991 0.6081
20 Pb 0.3453 0.7767 0.1013



Record 8
KPdPtPb3: optimized geometry, PBE.

Values from the calculation:
formation energy	-0.07	eV/atom
space-group type	Cmcm
total magnetic moment	0.000	μB/atom

Unit cell a=7.4450 b=7.6062 c=7.7205 alpha=119.51 beta=90.00 gamma=90.00
Atoms (fractional coordinates):
1 Pt 0.2500 0.4117 0.8234
2 Pb 0.5000 0.2716 0.0000
3 Pd 0.7500 0.9756 0.9511
4 Pd 0.2500 0.0244 0.0489
5 K 0.7500 0.2469 0.4938
6 Pt 0.7500 0.5883 0.1766
7 Pb 0.0000 0.7284 0.0000
8 Pb 0.5000 0.7284 0.0000
9 Pb 0.2500 0.2186 0.4373
10 Pb 0.7500 0.7814 0.5627
11 Pb 0.0000 0.2716 0.0000
12 K 0.2500 0.7531 0.5062



Record 9
K2Pd3PtPb4: optimized geometry, PBE.

Values from the calculation:
formation energy	-0.23	eV/atom
space-group type	P-4m2
total magnetic moment	0.000	μB/atom

Unit cell a=4.8841 b=4.8841 c=11.1170 alpha=90.00 beta=90.00 gamma=90.00
Atoms (fractional coordinates):
1 Pb 0.0000 0.0000 0.0000
2 Pd 0.5000 0.0000 0.8690
3 K 0.0000 0.5000 0.7385
4 Pb 0.5000 0.5000 0.0000
5 Pb 0.0000 0.5000 0.3802
6 Pt 0.5000 0.5000 0.5000
7 K 0.5000 0.0000 0.2615
8 Pb 0.5000 0.0000 0.6198
9 Pd 0.0000 0.0000 0.5000
10 Pd 0.0000 0.5000 0.1310



Record 10
KRbPdPb2: optimized geometry, PBE.

Values from the calculation:
formation energy	-0.07	eV/atom
space-group type	P4/mmm
total magnetic moment	0.000	μB/atom

Unit cell a=5.4667 b=5.4667 c=6.1269 alpha=90.00 beta=90.00 gamma=90.00
Atoms (fractional coordinates):
1 Pd 0.0000 0.0000 0.0000
2 Pb 0.5000 0.0000 0.0000
3 K 0.0000 0.0000 0.5000
4 Rb 0.5000 0.5000 0.5000
5 Pb 0.0000 0.5000 0.0000



Record 11
KRbPd2Pb: optimized geometry, PBE.

Values from the calculation:
formation energy	0.91	eV/atom
space-group type	P4/mmm
total magnetic moment	0.000	μB/atom

Unit cell a=5.5164 b=6.3041 c=5.5164 alpha=90.00 beta=90.00 gamma=90.00
Atoms (fractional coordinates):
1 Pb 0.0000 0.5000 0.0000
2 Pd 0.0000 0.0000 0.5000
3 Rb 0.0000 0.0000 0.0000
4 K 0.5000 0.5000 0.5000
5 Pd 0.5000 0.0000 0.0000



Record 12
KRbPdPb2: optimized geometry, PBE.

Values from the calculation:
formation energy	-0.04	eV/atom
space-group type	P4/mmm
total magnetic moment	0.000	μB/atom

Unit cell a=5.4749 b=5.4749 c=6.2323 alpha=90.00 beta=90.00 gamma=90.00
Atoms (fractional coordinates):
1 Pb 0.0000 0.5000 0.0000
2 Pd 0.0000 0.0000 0.0000
3 K 0.5000 0.5000 0.5000
4 Rb 0.0000 0.0000 0.5000
5 Pb 0.5000 0.0000 0.0000



Record 13
K2Sb3Pd4Pb: optimized geometry, PBE.

Values from the calculation:
space-group type	P-4m2
total magnetic moment	0.000	μB/atom
E_form (uncorrected)	-422	meV/atom

Unit cell a=4.7766 b=4.7766 c=10.8795 alpha=90.00 beta=90.00 gamma=90.00
Atoms (fractional coordinates):
1 K 0.5000 0.0000 0.2435
2 Pd 0.0000 0.0000 0.0000
3 Sb 0.0000 0.5000 0.1174
4 K 0.0000 0.5000 0.7565
5 Pb 0.5000 0.5000 0.5000
6 Pd 0.5000 0.0000 0.6353
7 Sb 0.0000 0.0000 0.5000
8 Sb 0.5000 0.0000 0.8826
9 Pd 0.5000 0.5000 0.0000
10 Pd 0.0000 0.5000 0.3647



Record 14
KSbPdPb: optimized geometry, PBE.

Values from the calculation:
space-group type	Cm
total magnetic moment	0.000	μB/atom
E_form (uncorrected)	-347	meV/atom

Unit cell a=4.5571 b=4.5571 c=7.8407 alpha=90.12 beta=90.12 gamma=60.01
Atoms (fractional coordinates):
1 Pd 0.0242 0.0242 0.8505
2 Sb 0.6910 0.6910 0.9182
3 Pb 0.3571 0.3571 0.6718
4 K 0.3582 0.3582 0.2086



Record 15
KSnPdPb: optimized geometry, PBE.

Values from the calculation:
formation energy	-0.32	eV/atom
space-group type	R3m
total magnetic moment	0.000	μB/atom

Unit cell a=4.5591 b=4.5591 c=7.3385 alpha=71.90 beta=71.90 gamma=60.00
Atoms (fractional coordinates):
1 Pd 0.6281 0.6281 0.1157
2 K 0.8125 0.8125 0.5624
3 Sn 0.2619 0.2619 0.2142
4 Pb 0.0233 0.0233 0.9301



Record 16
KTl2Pd2Pb: optimized geometry, PBE.

Values from the calculation:
formation energy	-0.04	eV/atom
space-group type	P4/mmm
total magnetic moment	0.000	μB/atom

Unit cell a=5.2233 b=5.2233 c=6.6637 alpha=90.00 beta=90.00 gamma=90.00
Atoms (fractional coordinates):
1 Pb 0.0000 0.0000 0.0000
2 K 0.0000 0.0000 0.5000
3 Tl 0.5000 0.5000 0.2451
4 Tl 0.5000 0.5000 0.7549
5 Pd 0.0000 0.5000 0.0000
6 Pd 0.5000 0.0000 0.0000



Record 17
KTlPd2Pb2: optimized geometry, PBE.

Values from the calculation:
formation energy	-0.08	eV/atom
space-group type	P4/mmm
total magnetic moment	0.000	μB/atom

Unit cell a=5.1950 b=5.1950 c=6.6056 alpha=90.00 beta=90.00 gamma=90.00
Atoms (fractional coordinates):
1 Pd 0.5000 0.0000 0.0000
2 Pb 0.5000 0.5000 0.2424
3 K 0.0000 0.0000 0.5000
4 Pd 0.0000 0.5000 0.0000
5 Tl 0.0000 0.0000 0.0000
6 Pb 0.5000 0.5000 0.7576



Record 18
KTlPd2Pb: optimized geometry, PBE.

Values from the calculation:
formation energy	-0.15	eV/atom
space-group type	P2_1/m
total magnetic moment	0.000	μB/atom

Unit cell a=4.8033 b=7.4839 c=8.5268 alpha=109.62 beta=90.00 gamma=90.00
Atoms (fractional coordinates):
1 Pd 0.7500 0.5235 0.3997
2 Pd 0.2500 0.4765 0.6003
3 K 0.2500 0.1421 0.2207
4 Pb 0.7500 0.6132 0.0979
5 Pd 0.7500 0.9067 0.4070
6 Tl 0.7500 0.2870 0.5871
7 Tl 0.2500 0.7130 0.4129
8 Pd 0.2500 0.0933 0.5930
9 K 0.7500 0.8579 0.7793
10 Pb 0.2500 0.3868 0.9021



Record 19
KTl2PdPb: optimized geometry, PBE.

Values from the calculation:
formation energy	0.17	eV/atom
space-group type	P4/mmm
total magnetic moment	0.000	μB/atom

Unit cell a=6.0212 b=6.0212 c=5.2970 alpha=90.00 beta=90.00 gamma=90.00
Atoms (fractional coordinates):
1 Tl 0.5000 0.0000 0.0000
2 Pd 0.0000 0.0000 0.5000
3 Tl 0.0000 0.5000 0.0000
4 Pb 0.0000 0.0000 0.0000
5 K 0.5000 0.5000 0.5000



Record 20
KTlPdPb: optimized geometry, PBE.

Values from the calculation:
formation energy	-0.16	eV/atom
space-group type	R3m
total magnetic moment	0.000	μB/atom

Unit cell a=4.7204 b=4.7204 c=7.0097 alpha=70.32 beta=70.32 gamma=60.00
Atoms (fractional coordinates):
1 Tl 0.0242 0.0242 0.9273
2 Pd 0.6314 0.6314 0.1058
3 K 0.8094 0.8094 0.5717
4 Pb 0.2608 0.2608 0.2176